(1)
# Pr2CuSn4Pd3

Crystalline Pr2CuSn4Pd3 at its relaxed geometry (PBE, the Alexandria database).

abc: 4.5559 4.5559 10.9099
angles: 90.00 90.00 90.00
Closest atoms and distances in Å follow each position.
Positions (direct):
Pr: 0.0000 0.5000 0.2366  8 Sn 3.44-3.67, 2 Cu 3.44, 6 Pd 3.44-3.52
Pr: 0.5000 0.0000 0.7634  8 Sn 3.44-3.67, 2 Cu 3.44, 6 Pd 3.44-3.52
Cu: 0.5000 0.5000 0.0000  4 Sn 2.67
Sn: 0.0000 0.0000 0.5000  4 Pd 2.70
Sn: 0.0000 0.5000 0.8731  3 Pd 2.62-2.67, 2 Cu 2.67
Sn: 0.5000 0.0000 0.1269  3 Pd 2.62-2.67, 2 Cu 2.67
Sn: 0.5000 0.5000 0.5000  4 Pd 2.70
Pd: 0.0000 0.0000 0.0000  4 Sn 2.67
Pd: 0.0000 0.5000 0.6329  5 Sn 2.62-2.70
Pd: 0.5000 0.0000 0.3671  5 Sn 2.62-2.70

Values from the calculation:
Its calculated volume is 226.4 Å³/cell. Its symmetry is P-4m2 (115). The energy comes out at -5.22 eV per atom.

---

(2)
# BeAu2Br

Crystalline BeAu2Br at its relaxed geometry (PBE, the Alexandria database).

abc: 4.4669 3.4764 6.2325
angles: 90.00 98.76 90.00
Closest atoms and distances in Å follow each position.
Positions (direct):
Be: 0.0000 0.0000 0.0000  4 Au 2.27
Au: 0.2903 0.5000 0.1434  2 Be 2.27
Au: 0.7097 0.5000 0.8566  2 Be 2.27
Br: 0.5000 0.0000 0.5000  4 Au 2.86

Values from the calculation:
Its calculated volume is 95.7 Å³/cell. Its symmetry is P2/m (10). For the energy relative to the elements, uncorrected, the calculation gives 0.098 eV/atom.

---

Question: The highest calculated volume belongs to which entry?
Answer: Pr2CuSn4Pd3

---

Question: What is the calculated volume in the first record?
Answer: 226.4 Å³/cell